(1)
A relaxed structure of GdDyY. Source: Alexandria via LeMat-Bulk, functional PBE.

Calculated values
The value obtained for the formation energy is 0.022 eV per atom. As for the space-group type: P3m1, No. 156. Its total moment is 7.3 μB/cell.

Structure (POSCAR):
```
GdDyY
1.0
3.571 0.000 0.000
-1.785 3.092 0.000
0.000 0.000 8.721
Gd Dy Y
1 1 1
direct
0.000 0.000 0.000
0.333 0.667 0.667
0.667 0.333 0.337
```

=====

(2)
A relaxed structure of ErTm2Lu. Source: Alexandria via LeMat-Bulk, functional PBE.

Calculated values
The value obtained for the formation energy is 0.031 eV per atom. The value obtained for the energy above the most stable polymorph in this dataset is 1.8 meV per atom. As for the space-group type: R-3m, No. 166. Its total moment is 0.0 μB/cell.

Structure (POSCAR):
```
ErTm2Lu
1.0
1.741 1.005 11.336
-1.741 1.005 11.336
0.000 -2.010 11.336
Er Tm Lu
1 2 1
direct
0.000 0.000 0.000
0.250 0.250 0.250
0.750 0.750 0.750
0.500 0.500 0.500
```

=====

(3)
A relaxed structure of RbMg2Tl4. Source: Alexandria via LeMat-Bulk, functional PBE.

Calculated values
The value obtained for the formation energy is -0.016 eV per atom. As for the space-group type: Immm, No. 71. Its total moment is 0.0 μB/cell.

Structure (POSCAR):
```
RbMg2Tl4
1.0
-1.738 2.551 11.932
1.738 -2.551 11.932
1.738 2.551 -11.932
Rb Mg Tl
1 2 4
direct
0.000 0.000 0.000
0.292 0.792 0.500
0.708 0.208 0.500
0.166 0.666 0.500
0.410 0.410 0.000
0.590 0.590 0.000
0.834 0.334 0.500
```

=====

(4)
A relaxed structure of SrSc2Zn. Source: Alexandria via LeMat-Bulk, functional PBE.

Calculated values
The value obtained for the formation energy is -0.019 eV per atom. As for the space-group type: P4mm, No. 99. Its total moment is 1.0 μB/cell.

Structure (POSCAR):
```
SrSc2Zn
1.0
3.579 0.000 0.000
0.000 3.579 0.000
0.000 0.000 8.451
Sr Sc Zn
1 2 1
direct
0.000 0.000 0.000
0.000 0.000 0.429
0.500 0.500 0.656
0.500 0.500 0.271
```

=====

(5)
A relaxed structure of In2SnBr. Source: Alexandria via LeMat-Bulk, functional PBE.

Calculated values
The value obtained for the energy above the most stable polymorph in this dataset is 132.1 meV per atom. The calculation puts the energy relative to the elements, uncorrected at -55.1 meV/atom. As for the space-group type: I-42d, No. 122. Its total moment is 0.0 μB/cell.

Structure (POSCAR):
```
In2SnBr
1.0
-3.321 3.321 7.446
3.321 -3.321 7.446
3.321 3.321 -7.446
In Sn Br
4 2 2
direct
0.102 0.625 0.977
0.375 0.352 0.477
0.648 0.125 0.023
0.875 0.898 0.523
0.000 0.000 0.000
0.750 0.250 0.500
0.250 0.750 0.500
0.500 0.500 0.000
```

=====

(6)
A relaxed structure of Na2Zn5Ge4. Source: Alexandria via LeMat-Bulk, functional PBE.

Calculated values
The value obtained for the formation energy is 0.097 eV per atom. As for the space-group type: Fmmm, No. 69. Its total moment is 0.0 μB/cell.

Structure (POSCAR):
```
Na2Zn5Ge4
1.0
0.000 6.590 6.728
2.739 0.000 6.728
2.739 6.590 0.000
Na Zn Ge
2 5 4
direct
0.155 0.845 0.155
0.845 0.155 0.845
0.000 0.500 0.000
0.250 0.250 0.250
0.500 0.000 0.500
0.500 0.500 0.500
0.750 0.750 0.750
0.233 0.486 0.514
0.486 0.233 0.767
0.514 0.767 0.233
0.767 0.514 0.486
```